First-principles (PBE) data for a geometry-optimized CsCuAs structure, as listed in Alexandria via LeMat-Bulk.

Cell lengths 5.9587, 4.1272, 4.1272 Å; angles 120.00, 90.00, 90.00 degrees
Last column: nearest neighbours and their distance in Å.
Fractional coordinates of all 3 atoms:
As  0.1669  0.0000  0.0000  3 Cu 2.38
Cs  0.6669  0.6667  0.3333  6 Cu 3.81-3.82, 6 As 3.81-3.82, 6 Cs 4.13
Cu  0.1662  0.3333  0.6667  3 As 2.38

Output
crystal system = hexagonal
total moment = 0.0 μB per formula unit
DOS(E_F) = 1.92 states/eV/f.u.
energy relative to the elements = -54.3 kJ/mol of formula units
offset from the most stable computed form = 94 meV/atom
V = 88 Å³ per cell